Record 1
An optimized crystal structure of ErCu2Pd8, computed with PBE.

Summary:
- raw total energy (eV per atom) = -5.287
- E_form (eV/atom) = -0.351

The structure in POSCAR format:
```
ErCu2Pd8
1.0
7.045 -2.015 0.000
7.045 2.015 0.000
-1.850 0.000 6.053
Er Cu Pd
1 2 8
direct
0.000 0.000 0.000
0.272 0.272 0.359
0.728 0.728 0.641
0.098 0.098 0.468
0.185 0.185 0.918
0.356 0.356 0.795
0.451 0.451 0.275
0.549 0.549 0.725
0.644 0.644 0.205
0.815 0.815 0.082
0.902 0.902 0.532
```

***

Record 2
An optimized crystal structure of ErCuPd, computed with PBE.

Summary:
- raw total energy (eV per atom) = -5.253
- E_form (eV/atom) = -0.636

The structure in POSCAR format:
```
ErCuPd
1.0
7.020 0.000 0.000
0.000 3.934 0.000
0.000 0.000 8.095
Er Cu Pd
4 4 4
direct
0.050 0.250 0.195
0.450 0.750 0.695
0.550 0.250 0.305
0.950 0.750 0.805
0.122 0.250 0.568
0.378 0.750 0.068
0.622 0.250 0.932
0.878 0.750 0.432
0.243 0.250 0.885
0.257 0.750 0.385
0.743 0.250 0.615
0.757 0.750 0.115
```

***

Record 3
An optimized crystal structure of PmErCuPd, computed with PBE.

Summary:
- raw total energy (eV per atom) = -5.180
- E_form (eV/atom) = -0.529

The structure in POSCAR format:
```
PmErCuPd
1.0
0.000 3.528 3.528
3.528 0.000 3.528
3.528 3.528 0.000
Pm Er Cu Pd
1 1 1 1
direct
0.000 0.000 0.000
0.500 0.500 0.500
0.750 0.750 0.750
0.250 0.250 0.250
```

***

Record 4
An optimized crystal structure of PmErCuPd, computed with PBE.

Summary:
- raw total energy (eV per atom) = -5.213
- E_form (eV/atom) = -0.562

The structure in POSCAR format:
```
PmErCuPd
1.0
4.591 0.000 0.000
0.000 1.893 5.236
0.000 -1.893 5.236
Pm Er Cu Pd
1 1 1 1
direct
0.000 0.000 0.000
0.500 0.278 0.278
0.000 0.719 0.719
0.500 0.566 0.566
```

***

Record 5
An optimized crystal structure of ErPuCuPd, computed with PBE.

Summary:
- raw total energy (eV per atom) = -7.369
- E_form (eV/atom) = -0.323

The structure in POSCAR format:
```
ErPuCuPd
1.0
0.000 3.492 3.492
3.492 0.000 3.492
3.492 3.492 0.000
Er Pu Cu Pd
1 1 1 1
direct
0.000 0.000 0.000
0.500 0.500 0.500
0.750 0.750 0.750
0.250 0.250 0.250
```

***

Record 6
An optimized crystal structure of ErCuPdRh, computed with PBE.

Summary:
- raw total energy (eV per atom) = -5.856
- E_form (eV/atom) = -0.555

The structure in POSCAR format:
```
ErCuPdRh
1.0
0.000 3.217 3.217
3.217 0.000 3.217
3.217 3.217 0.000
Er Cu Pd Rh
1 1 1 1
direct
0.000 0.000 0.000
0.500 0.500 0.500
0.750 0.750 0.750
0.250 0.250 0.250
```

***

Record 7
An optimized crystal structure of ErCuPdRh, computed with PBE.

Summary:
- raw total energy (eV per atom) = -5.937
- E_form (eV/atom) = -0.637

The structure in POSCAR format:
```
ErCuPdRh
1.0
3.804 0.000 0.000
0.000 4.089 0.000
0.000 0.000 4.205
Er Cu Pd Rh
1 1 1 1
direct
0.000 0.000 0.000
0.000 0.500 0.500
0.500 0.000 0.500
0.500 0.500 0.000
```

***

Record 8
An optimized crystal structure of ErScCuPd, computed with PBE.

Summary:
- raw total energy (eV per atom) = -5.621
- E_form (eV/atom) = -0.576

The structure in POSCAR format:
```
ErScCuPd
1.0
0.000 3.380 3.380
3.380 0.000 3.380
3.380 3.380 0.000
Er Sc Cu Pd
1 1 1 1
direct
0.000 0.000 0.000
0.500 0.500 0.500
0.750 0.750 0.750
0.250 0.250 0.250
```

***

Record 9
An optimized crystal structure of ErCuSi2Pd, computed with PBE.

Summary:
- raw total energy (eV per atom) = -5.697
- ΔE_f (raw) (eV per formula unit) = -3.8

The structure in POSCAR format:
```
ErCuSi2Pd
1.0
-2.008 2.008 5.073
2.008 -2.008 5.073
2.008 2.008 -5.073
Er Cu Si Pd
1 1 2 1
direct
0.000 0.000 0.000
0.250 0.750 0.500
0.386 0.386 0.000
0.614 0.614 0.000
0.750 0.250 0.500
```

***

Record 10
An optimized crystal structure of SmErCuPd, computed with PBE.

Summary:
- raw total energy (eV per atom) = -5.182
- E_form (eV/atom) = -0.539

The structure in POSCAR format:
```
SmErCuPd
1.0
0.000 3.517 3.517
3.517 0.000 3.517
3.517 3.517 0.000
Sm Er Cu Pd
1 1 1 1
direct
0.000 0.000 0.000
0.500 0.500 0.500
0.250 0.250 0.250
0.750 0.750 0.750
```

***

Record 11
An optimized crystal structure of SmErCuPd, computed with PBE.

Summary:
- raw total energy (eV per atom) = -5.214
- E_form (eV/atom) = -0.572

The structure in POSCAR format:
```
SmErCuPd
1.0
4.582 0.000 0.000
0.000 1.884 5.226
0.000 -1.884 5.226
Sm Er Cu Pd
1 1 1 1
direct
0.000 0.000 0.000
0.500 0.278 0.278
0.000 0.719 0.719
0.500 0.564 0.564
```

***

Record 12
An optimized crystal structure of ErCuSnPd, computed with PBE.

Summary:
- raw total energy (eV per atom) = -5.099
- E_form (eV/atom) = -0.635

The structure in POSCAR format:
```
ErCuSnPd
1.0
0.000 3.346 3.346
3.346 0.000 3.346
3.346 3.346 0.000
Er Cu Sn Pd
1 1 1 1
direct
0.000 0.000 0.000
0.250 0.250 0.250
0.500 0.500 0.500
0.750 0.750 0.750
```

***

Size of the total moment in Bohr magnetons per cell, matching the order above: 0.0; 0.0; 0.0; 0.0; 5.6; 0.0; 0.0; 0.0; 0.0; 0.0; 0.0; 0.0